GaBi6Pb12 | PBE | relaxed

Values from the calculation:
Total magnetic moment ... 0.0 μB/cell
ρ ... 10.3 g/cm3
Total energy ... -3.66 eV/atom

Cell: 8.498 8.498 8.498 Å, 92.30 92.30 92.30°
Fractional positions:
Ga 0.000 0.000 0.000
Bi 0.286 0.128 0.744
Bi 0.872 0.256 0.714
Bi 0.256 0.714 0.872
Bi 0.714 0.872 0.256
Bi 0.128 0.744 0.286
Bi 0.744 0.286 0.128
Pb 0.546 0.204 0.464
Pb 0.204 0.464 0.546
Pb 0.464 0.546 0.204
Pb 0.454 0.796 0.536
Pb 0.796 0.536 0.454
Pb 0.536 0.454 0.796
Pb 0.974 0.860 0.636
Pb 0.364 0.026 0.140
Pb 0.140 0.364 0.026
Pb 0.026 0.140 0.364
Pb 0.636 0.974 0.860
Pb 0.860 0.636 0.974